ScReAgO6, relaxed, DFT PBE; E_tot = -7.39 eV per atom; space group = No. 5; magnetic moment = 0.000 μB/f.u.; energy relative to the elements, uncorrected = -1.679 eV/atom
1.0
5.248 0.171 0.226
2.763 4.797 0.452
0.196 0.341 4.849
O Re Ag Sc
6 1 1 1
direct
0.637 0.321 0.708 O
0.031 0.397 0.273 O
0.348 0.647 0.275 O
0.637 0.041 0.291 O
0.348 0.005 0.725 O
0.031 0.572 0.727 O
0.325 0.337 0.500 Re
0.989 0.006 0.000 Ag
0.652 0.674 0.500 Sc